Material: Pm6YHo4
Method: DFT, PBE
State: optimized geometry

a = 8.660 Å, b = 8.660 Å, c = 8.660 Å
α = 128.66°, β = 128.66°, γ = 75.56°
Fractional positions:
Pm: 0.000 0.500 0.500
Pm: 0.039 0.585 0.000
Pm: 0.415 0.415 0.454
Pm: 0.500 0.000 0.500
Pm: 0.585 0.039 0.000
Pm: 0.961 0.961 0.546
Y: 0.000 0.000 0.000
Ho: 0.255 0.255 0.673
Ho: 0.418 0.745 0.000
Ho: 0.582 0.582 0.327
Ho: 0.745 0.418 0.000

Computed properties:
Size of the total moment in μB/atom: 0.0000
Polymorph energy (0 for the lowest one) in meV/atom: 64
E in eV per atom: -4.473
D(E_F) in states/eV per cell: 16.00
Formation energy from the elements in eV/atom: 0.37
Calculated density in g cm⁻³: 7.0